Version one
Here is a PBEsol-optimized structure of KSrOs2 from Alexandria. Energies are from meta-GGA SCAN.

Volume (Å³/f.u.): 77

Cell lengths 3.8218, 3.8218, 5.9189 Å; angles 108.83, 108.83, 90.00 degrees
Closest atoms and distances in Å follow each position.
Element x y z (fractional)
K  0.0000  0.0000  0.0000  4 Sr 2.70
Os  0.7500  0.2500  0.5000  4 Os 2.70
Os  0.2500  0.7500  0.5000  4 Os 2.70
Sr  0.5000  0.5000  0.0000  4 K 2.70

***

Version two
Here is a PBEsol-optimized structure of KSrOs2 from Alexandria. Energies are from meta-GGA SCAN.

Volume (Å³/f.u.): 109

Cell lengths 3.3429, 3.3429, 9.7594 Å; angles 90.00, 90.00, 90.62 degrees
Closest atoms and distances in Å follow each position.
Element x y z (fractional)
K  0.5000  0.5000  0.1764  4 K 3.34, 5 Os 3.47-3.52
Os  0.0000  0.0000  0.9111  4 Os 2.51-2.53
Os  0.5000  0.5000  0.8214  4 Os 2.51-2.53
Sr  0.0000  0.0000  0.5911  5 Os 3.12-3.27, 4 Sr 3.34

***

The calculated energies rank the structures as follows, beginning with the most stable: version two, version one.

***

Version one
Here is a PBEsol-optimized structure of K2SrOs from Alexandria. Energies are from meta-GGA SCAN.

Volume (Å³/f.u.): 114

Cell lengths 3.0998, 5.9056, 6.2063 Å; angles 90.00, 90.00, 91.33 degrees
Closest atoms and distances in Å follow each position.
Element x y z (fractional)
K  0.2680  0.2822  0.0000  4 K 2.92-3.10
K  0.7320  0.7178  0.0000  4 K 2.92-3.10
Os  0.0000  0.5000  0.5000  2 Os 3.10, 4 Sr 3.30-3.37, 4 K 3.47
Sr  0.5000  0.0000  0.5000  2 Sr 3.10, 4 Os 3.30-3.37

***

Version two
Here is a PBEsol-optimized structure of K2SrOs from Alexandria. Energies are from meta-GGA SCAN.

Volume (Å³/f.u.): 121

Cell lengths 5.5589, 5.5589, 5.5589 Å; angles 60.00, 60.00, 60.00 degrees
Closest atoms and distances in Å follow each position.
Element x y z (fractional)
K  0.2500  0.2500  0.2500  4 Os 3.40, 4 Sr 3.40
K  0.7500  0.7500  0.7500  4 Os 3.40, 4 Sr 3.40
Os  0.0000  0.0000  0.0000  8 K 3.40
Sr  0.5000  0.5000  0.5000  8 K 3.40

***

The calculated energies rank the structures as follows, beginning with the most stable: version one, version two.

***

Version one
Here is a PBEsol-optimized structure of KTlOs2 from Alexandria. Energies are from meta-GGA SCAN.

Volume (Å³/f.u.): 74

Cell lengths 4.7065, 4.7065, 4.7065 Å; angles 60.00, 60.00, 60.00 degrees
Closest atoms and distances in Å follow each position.
Element x y z (fractional)
K  0.0000  0.0000  0.0000  8 Os 2.88
Os  0.2500  0.2500  0.2500  4 Tl 2.88, 4 K 2.88
Os  0.7500  0.7500  0.7500  4 Tl 2.88, 4 K 2.88
Tl  0.5000  0.5000  0.5000  8 Os 2.88

***

Version two
Here is a PBEsol-optimized structure of KTlOs2 from Alexandria. Energies are from meta-GGA SCAN.

Volume (Å³/f.u.): 75

Cell lengths 2.7961, 4.9624, 5.3772 Å; angles 90.00, 90.00, 90.00 degrees
Closest atoms and distances in Å follow each position.
Element x y z (fractional)
K  0.0000  0.5000  0.5000  2 K 2.80, 4 Tl 2.85, 4 Os 3.03
Os  0.0000  0.0000  0.0000  6 Os 2.80-2.85, 4 Tl 3.03
Os  0.5000  0.5000  0.0000  6 Os 2.80-2.85, 4 K 3.03
Tl  0.5000  0.0000  0.5000  2 Tl 2.80, 4 K 2.85, 4 Os 3.03

***

The calculated energies rank the structures as follows, beginning with the most stable: version two, version one.

***

Version one
Here is a PBEsol-optimized structure of KTlOs2 from Alexandria. Energies are from meta-GGA SCAN.

Volume (Å³/f.u.): 77

Cell lengths 2.6145, 5.7096, 5.8752 Å; angles 119.07, 90.00, 90.00 degrees
Closest atoms and distances in Å follow each position.
Element x y z (fractional)
K  0.5000  0.5000  0.0000  2 K 2.61, 2 Tl 2.85
Os  0.0000  0.5000  0.5000  4 Os 2.61-2.85
Os  0.0000  0.0000  0.5000  4 Os 2.61-2.85
Tl  0.5000  0.0000  0.0000  2 Tl 2.61, 2 K 2.85

***

Version two
Here is a PBEsol-optimized structure of KTlOs2 from Alexandria. Energies are from meta-GGA SCAN.

Volume (Å³/f.u.): 75

Cell lengths 3.9285, 3.9285, 4.8670 Å; angles 90.00, 90.00, 90.00 degrees
Closest atoms and distances in Å follow each position.
Element x y z (fractional)
K  0.0000  0.0000  0.5000  4 Tl 2.78
Os  0.0000  0.5000  0.0000  4 Os 2.78
Os  0.5000  0.0000  0.0000  4 Os 2.78
Tl  0.5000  0.5000  0.5000  4 K 2.78

***

The calculated energies rank the structures as follows, beginning with the most stable: version one, version two.